DFT (PBE-GGA) results for a geometry-optimized Ce7Tc2Os2 structure.

N(E_F) (states/eV per atom): 2.12
Calculated total energy (eV per atom): -7.776
DFT formation energy (eV/atom): -0.074

abc: 3.871 14.566 9.307
angles: 90.00 90.00 90.00
Space group Imm2 (No. 44)
Inequivalent atoms, fractional coordinates:
Ce1 0.000 0.000 0.000 x2
Ce2 0.000 0.108 0.393 x4
Ce3 0.000 0.305 0.623 x4
Ce4 0.000 0.375 0.243 x4
Tc1 0.000 0.000 0.659 x2
Tc2 0.000 0.500 0.690 x2
Os1 0.000 0.238 0.923 x4

=====

DFT (PBE-GGA) results for a geometry-optimized LiCrTc structure.

Energy above the most stable polymorph in this dataset (meV per atom): 149
N(E_F) (states/eV per atom): 1.06
Calculated total energy (eV per atom): -6.968
DFT formation energy (eV/atom): 0.333

abc: 3.036 3.036 8.735
angles: 90.00 90.00 90.00
Space group I4mm (No. 107)
Inequivalent atoms, fractional coordinates:
Li1 0.000 0.000 0.000 x2
Cr1 0.000 0.000 0.318 x2
Tc1 0.000 0.000 0.683 x2

=====

DFT (PBE-GGA) results for a geometry-optimized B2OsRh2 structure.

Energy above the most stable polymorph in this dataset (meV per atom): 0
N(E_F) (states/eV per atom): 0.58
Calculated total energy (eV per atom): -7.789
DFT formation energy (eV/atom): 0.068

abc: 6.377 6.377 2.688
angles: 90.00 90.00 90.00
Space group P4/mbm (No. 127)
Inequivalent atoms, fractional coordinates:
B1 0.154 0.346 0.000 x4
Os1 0.000 0.000 0.000 x2
Rh1 0.152 0.652 0.500 x4

=====

DFT (PBE-GGA) results for a geometry-optimized LiGd2In structure.

N(E_F) (states/eV per atom): 1.47
Calculated total energy (eV per atom): -7.992
DFT formation energy (eV/atom): 0.212

abc: 3.3910 3.3910 35.4150
angles: 90.00 90.00 120.00
Space group R-3m (No. 166, hexagonal axes)
Inequivalent atoms, fractional coordinates:
Li1 0.0000 0.0000 0.0000 x3
Gd1 0.0000 0.0000 0.4093 x6
In1 0.0000 0.0000 0.5000 x3

=====

DFT (PBE-GGA) results for a geometry-optimized CuMo2H structure.

Energy above the most stable polymorph in this dataset (meV per atom): 158
N(E_F) (states/eV per atom): 0.76
Calculated total energy (eV per atom): -6.727

abc: 2.7704 2.7704 23.0461
angles: 90.00 90.00 120.00
Space group R-3m (No. 166, hexagonal axes)
Inequivalent atoms, fractional coordinates:
Cu1 0.0000 0.0000 0.0000 x3
Mo1 0.0000 0.0000 0.1137 x6
H1 0.0000 0.0000 0.5000 x3

=====

DFT (PBE-GGA) results for a geometry-optimized ScCoSi2 structure.

N(E_F) (states/eV per atom): 0.41
Calculated total energy (eV per atom): -6.558

abc: 2.873 2.873 6.660
angles: 90.00 90.00 90.00
Space group P4/mmm (No. 123)
Inequivalent atoms, fractional coordinates:
Sc1 0.000 0.000 0.000 x1
Co1 0.000 0.000 0.500 x1
Si1 0.500 0.500 0.300 x2

=====

DFT (PBE-GGA) results for a geometry-optimized RbBH structure.

Energy above the most stable polymorph in this dataset (meV per atom): 140
N(E_F) (states/eV per atom): 0.00
Calculated total energy (eV per atom): -3.423

abc: 5.641 5.652 6.240
angles: 68.75 64.21 63.17
Space group P1 (No. 1)
Inequivalent atoms, fractional coordinates:
Rb1 0.000 0.000 0.000 x1
Rb2 0.486 0.528 0.507 x1
B1 0.671 0.684 0.870 x1
B2 0.783 0.867 0.633 x1
H1 0.566 0.528 0.031 x1
H2 0.866 0.586 0.677 x1

=====

DFT (PBE-GGA) results for a geometry-optimized BiPOF2 structure.

Energy above the most stable polymorph in this dataset (meV per atom): 141
N(E_F) (states/eV per atom): 0.53
Calculated total energy (eV per atom): -4.288

abc: 4.565 4.565 4.516
angles: 90.00 90.00 90.00
Space group P4/mmm (No. 123)
Inequivalent atoms, fractional coordinates:
Bi1 0.000 0.000 0.000 x1
P1 0.500 0.500 0.500 x1
O1 0.000 0.000 0.500 x1
F1 0.000 0.500 0.000 x2

=====

DFT (PBE-GGA) results for a geometry-optimized Ti7O8 structure.

N(E_F) (states/eV per atom): 0.40
Calculated total energy (eV per atom): -8.879

abc: 9.542 4.070 9.035
angles: 90.00 108.85 90.00
Space group Cm (No. 8)
Inequivalent atoms, fractional coordinates:
Ti1 0.000 0.000 0.000 x2
Ti2 0.001 0.000 0.288 x2
Ti3 0.162 0.500 0.199 x2
Ti4 0.179 0.500 0.873 x2
Ti5 0.196 0.500 0.556 x2
Ti6 0.337 0.000 0.446 x2
Ti7 0.484 0.500 0.661 x2
O1 0.014 0.500 0.334 x2
O2 0.018 0.500 0.653 x2
O3 0.023 0.500 0.978 x2
O4 0.155 0.000 0.527 x2
O5 0.186 0.000 0.212 x2
O6 0.329 0.500 0.087 x2
O7 0.340 0.500 0.776 x2
O8 0.343 0.500 0.416 x2